# 1
ZrTeIr4 (SCAN, PBEsol geometry); space group = No. 216; formation energy without anion corrections = -110 meV per atom
1.0
0.0000 3.7037 3.7037
3.7037 0.0000 3.7037
3.7037 3.7037 0.0000
Zr Te Ir
1 1 4
direct
0.0000 0.0000 0.0000
0.2500 0.2500 0.2500
0.1239 0.6254 0.6254
0.6254 0.1239 0.6254
0.6254 0.6254 0.1239
0.6254 0.6254 0.6254

***

# 2
ThIr2 (SCAN, PBEsol geometry); space group = No. 227; ΔE_f = -0.9245 eV/atom
1.0
0.0000 3.8098 3.8098
3.8098 0.0000 3.8098
3.8098 3.8098 0.0000
Th Ir
2 4
direct
0.1250 0.1250 0.1250
0.8750 0.8750 0.8750
0.0000 0.5000 0.5000
0.5000 0.0000 0.5000
0.5000 0.5000 0.0000
0.5000 0.5000 0.5000

***

# 3
Ti3Ir (SCAN, PBEsol geometry); space group = No. 223; ΔE_f = -0.7284 eV/atom
1.0
4.9513 0.0000 0.0000
0.0000 4.9513 0.0000
0.0000 0.0000 4.9513
Ti Ir
6 2
direct
0.0000 0.2500 0.5000
0.0000 0.7500 0.5000
0.2500 0.5000 0.0000
0.5000 0.0000 0.2500
0.5000 0.0000 0.7500
0.7500 0.5000 0.0000
0.0000 0.0000 0.0000
0.5000 0.5000 0.5000

***

# 4
TiIr (SCAN, PBEsol geometry); space group = No. 123; ΔE_f = -1.0787 eV/atom
1.0
2.9120 0.0000 0.0000
0.0000 2.9120 0.0000
0.0000 0.0000 3.4373
Ti Ir
1 1
direct
0.0000 0.0000 0.0000
0.5000 0.5000 0.5000

***

# 5
TiIr3 (SCAN, PBEsol geometry); space group = No. 221; ΔE_f = -0.8877 eV/atom
1.0
3.8326 0.0000 0.0000
0.0000 3.8326 0.0000
0.0000 0.0000 3.8326
Ti Ir
1 3
direct
0.0000 0.0000 0.0000
0.0000 0.5000 0.5000
0.5000 0.0000 0.5000
0.5000 0.5000 0.0000

***

# 6
TiTl2Ir (SCAN, PBEsol geometry); space group = No. 225; ΔE_f = 0.2839 eV/atom
1.0
0.0000 3.3129 3.3129
3.3129 0.0000 3.3129
3.3129 3.3129 0.0000
Ti Tl Ir
1 2 1
direct
0.0000 0.0000 0.0000
0.2500 0.2500 0.2500
0.7500 0.7500 0.7500
0.5000 0.5000 0.5000

***

# 7
TiIr3W (SCAN, PBEsol geometry); space group = No. 221; ΔE_f = 1.3837 eV/atom
1.0
4.6661 0.0000 0.0000
0.0000 4.6661 0.0000
0.0000 0.0000 4.6661
Ti Ir W
1 3 1
direct
0.0000 0.0000 0.0000
0.0000 0.5000 0.5000
0.5000 0.0000 0.5000
0.5000 0.5000 0.0000
0.5000 0.5000 0.5000

***

# 8
YTiIr3 (SCAN, PBEsol geometry); space group = No. 221; ΔE_f = 0.0771 eV/atom
1.0
4.5671 0.0000 0.0000
0.0000 4.5671 0.0000
0.0000 0.0000 4.5671
Y Ti Ir
1 1 3
direct
0.0000 0.0000 0.0000
0.5000 0.5000 0.5000
0.0000 0.5000 0.5000
0.5000 0.0000 0.5000
0.5000 0.5000 0.0000

***

# 9
Y3TiIr (SCAN, PBEsol geometry); space group = No. 221; ΔE_f = 0.9365 eV/atom
1.0
4.9578 0.0000 0.0000
0.0000 4.9578 0.0000
0.0000 0.0000 4.9578
Y Ti Ir
3 1 1
direct
0.0000 0.0000 0.5000
0.0000 0.5000 0.0000
0.5000 0.0000 0.0000
0.0000 0.0000 0.0000
0.5000 0.5000 0.5000

***

# 10
YTi3Ir (SCAN, PBEsol geometry); space group = No. 221; ΔE_f = 1.6482 eV/atom
1.0
4.5073 0.0000 0.0000
0.0000 4.5073 0.0000
0.0000 0.0000 4.5073
Y Ti Ir
1 3 1
direct
0.0000 0.0000 0.0000
0.0000 0.0000 0.5000
0.0000 0.5000 0.0000
0.5000 0.0000 0.0000
0.5000 0.5000 0.5000

***

# 11
ZrTiIr3 (SCAN, PBEsol geometry); space group = No. 221; ΔE_f = 0.4172 eV/atom
1.0
4.5072 0.0000 0.0000
0.0000 4.5072 0.0000
0.0000 0.0000 4.5072
Zr Ti Ir
1 1 3
direct
0.0000 0.0000 0.0000
0.5000 0.5000 0.5000
0.0000 0.5000 0.5000
0.5000 0.0000 0.5000
0.5000 0.5000 0.0000

***

# 12
Zr2TiIr2 (SCAN, PBEsol geometry); space group = No. 127; ΔE_f = -0.8859 eV/atom
1.0
6.5138 0.0000 0.0000
0.0000 6.5138 0.0000
0.0000 0.0000 4.2803
Zr Ti Ir
4 2 4
direct
0.1740 0.3260 0.0000
0.3260 0.8260 0.0000
0.6740 0.1740 0.0000
0.8260 0.6740 0.0000
0.0000 0.0000 0.5000
0.5000 0.5000 0.5000
0.1419 0.6419 0.5000
0.3581 0.1419 0.5000
0.6419 0.8581 0.5000
0.8581 0.3581 0.5000

***

# 13
TlIr2 (SCAN, PBEsol geometry); space group = No. 194; ΔE_f = 0.8578 eV/atom
1.0
4.5827 0.0000 0.0000
-2.2914 3.9688 0.0000
0.0000 0.0000 5.4479
Tl Ir
2 4
direct
0.3333 0.6667 0.2500
0.6667 0.3333 0.7500
0.0000 0.0000 0.0000
0.0000 0.0000 0.5000
0.3333 0.6667 0.7500
0.6667 0.3333 0.2500

***

# 14
TlIr4 (SCAN, PBEsol geometry); space group = No. 87; ΔE_f = 0.4218 eV/atom
1.0
-3.1286 3.1286 1.9630
3.1286 -3.1286 1.9630
3.1286 3.1286 -1.9630
Tl Ir
1 4
direct
0.0000 0.0000 0.0000
0.1862 0.5984 0.7846
0.4016 0.1862 0.5878
0.5984 0.8138 0.4122
0.8138 0.4016 0.2154

***

# 15
TlIr2 (SCAN, PBEsol geometry); space group = No. 164; ΔE_f = 0.6648 eV/atom
1.0
2.9137 0.0000 0.0000
-1.4568 2.5233 0.0000
0.0000 0.0000 6.7428
Tl Ir
1 2
direct
0.0000 0.0000 0.0000
0.3333 0.6667 0.3494
0.6667 0.3333 0.6506

***

# 16
TlIr4 (SCAN, PBEsol geometry); space group = No. 229; ΔE_f = 2.0983 eV/atom
1.0
-2.9070 2.9070 2.9070
2.9070 -2.9070 2.9070
2.9070 2.9070 -2.9070
Tl Ir
1 4
direct
0.0000 0.0000 0.0000
0.0000 0.0000 0.5000
0.0000 0.5000 0.0000
0.5000 0.0000 0.0000
0.5000 0.5000 0.5000

***

# 17
TlIr2 (SCAN, PBEsol geometry); space group = No. 139; ΔE_f = 0.6284 eV/atom
1.0
-1.4420 1.4420 5.9315
1.4420 -1.4420 5.9315
1.4420 1.4420 -5.9315
Tl Ir
1 2
direct
0.0000 0.0000 0.0000
0.3226 0.3226 0.0000
0.6774 0.6774 0.0000

***

# 18
TlIr3 (SCAN, PBEsol geometry); space group = No. 166; ΔE_f = 0.5436 eV/atom
1.0
1.4172 0.8182 9.1150
-1.4172 0.8182 9.1150
0.0000 -1.6364 9.1150
Tl Ir
1 3
direct
0.0000 0.0000 0.0000
0.2440 0.2440 0.2440
0.5000 0.5000 0.5000
0.7560 0.7560 0.7560

***

# 19
TlIrW2 (SCAN, PBEsol geometry); space group = No. 35; ΔE_f = 0.4487 eV/atom
1.0
1.9985 -2.0029 0.0000
1.9985 2.0029 0.0000
0.0000 0.0000 8.3935
Tl Ir W
1 1 2
direct
0.0000 0.0000 0.0000
0.5000 0.5000 0.7327
0.0000 0.0000 0.5272
0.5000 0.5000 0.2772

***

# 20
TlIrW2 (SCAN, PBEsol geometry); space group = No. 119; ΔE_f = 0.6786 eV/atom
1.0
-2.0248 2.0248 3.9880
2.0248 -2.0248 3.9880
2.0248 2.0248 -3.9880
Tl Ir W
1 1 2
direct
0.0000 0.0000 0.0000
0.2500 0.7500 0.5000
0.5000 0.5000 0.0000
0.7500 0.2500 0.5000